(1)
# Li3ZnI GGA-PBE relaxed
data_Li3ZnI
_chemical_formula_sum 'Li3 Zn1 I1'
_cell_length_a 5.0498
_cell_length_b 5.0498
_cell_length_c 5.0498
_cell_angle_alpha 90.00
_cell_angle_beta 90.00
_cell_angle_gamma 90.00
_space_group_name_H-M_alt 'P 1'
_space_group_IT_number 1
_space_group_name_Hall 'P 1'
loop_
_atom_site_label
_atom_site_type_symbol
_atom_site_fract_x
_atom_site_fract_y
_atom_site_fract_z
_atom_site_occupancy
Li1 Li 0.0000 0.0000 0.5000 1
Li2 Li 0.0000 0.5000 0.0000 1
Li3 Li 0.5000 0.0000 0.0000 1
Zn1 Zn 0.0000 0.0000 0.0000 1
I1 I 0.5000 0.5000 0.5000 1
# E: -8.801 eV per cell
# volume: 25.8 A^3/atom
# space group: Pm-3m, No. 221
# formation energy from raw total energies: -47 meV per atom
# energy relative to the lowest polymorph listed for this composition: 2.8 kJ per mole of atoms
# total magnetization: 0.000 μB/atom

***

(2)
# Li3ZnI GGA-PBE relaxed
data_Li3ZnI
_chemical_formula_sum 'Li3 Zn1 I1'
_cell_length_a 5.2411
_cell_length_b 5.2411
_cell_length_c 5.2411
_cell_angle_alpha 90.00
_cell_angle_beta 90.00
_cell_angle_gamma 90.00
_space_group_name_H-M_alt 'P 1'
_space_group_IT_number 1
_space_group_name_Hall 'P 1'
loop_
_atom_site_label
_atom_site_type_symbol
_atom_site_fract_x
_atom_site_fract_y
_atom_site_fract_z
_atom_site_occupancy
Li1 Li 0.0000 0.0000 0.5000 1
Li2 Li 0.0000 0.5000 0.0000 1
Li3 Li 0.5000 0.0000 0.0000 1
Zn1 Zn 0.5000 0.5000 0.5000 1
I1 I 0.0000 0.0000 0.0000 1
# E: -8.948 eV per cell
# volume: 28.8 A^3/atom
# space group: Pm-3m, No. 221
# formation energy from raw total energies: -76 meV per atom
# energy relative to the lowest polymorph listed for this composition: 0.0 kJ per mole of atoms
# total magnetization: 0.000 μB/atom

***

(3)
# Li3Zn5I12 GGA-PBE relaxed
data_Li3Zn5I12
_chemical_formula_sum 'Li12 Zn20 I48'
_cell_length_a 15.4417
_cell_length_b 15.4417
_cell_length_c 15.4417
_cell_angle_alpha 109.47
_cell_angle_beta 109.47
_cell_angle_gamma 109.47
_space_group_name_H-M_alt 'P 1'
_space_group_IT_number 1
_space_group_name_Hall 'P 1'
loop_
_atom_site_label
_atom_site_type_symbol
_atom_site_fract_x
_atom_site_fract_y
_atom_site_fract_z
_atom_site_occupancy
Li1 Li 0.1250 0.2500 0.3750 1
Li2 Li 0.1250 0.3750 0.7500 1
Li3 Li 0.2500 0.3750 0.1250 1
Li4 Li 0.2500 0.8750 0.6250 1
Li5 Li 0.3750 0.1250 0.2500 1
Li6 Li 0.3750 0.7500 0.1250 1
Li7 Li 0.6250 0.2500 0.8750 1
Li8 Li 0.6250 0.8750 0.7500 1
Li9 Li 0.7500 0.1250 0.3750 1
Li10 Li 0.7500 0.6250 0.8750 1
Li11 Li 0.8750 0.6250 0.2500 1
Li12 Li 0.8750 0.7500 0.6250 1
Zn1 Zn 0.0000 0.0000 0.0000 1
Zn2 Zn 0.0000 0.0000 0.5000 1
Zn3 Zn 0.0000 0.5000 0.0000 1
Zn4 Zn 0.0000 0.5000 0.5000 1
Zn5 Zn 0.1250 0.7500 0.8750 1
Zn6 Zn 0.1250 0.8750 0.2500 1
Zn7 Zn 0.2500 0.1250 0.8750 1
Zn8 Zn 0.2500 0.6250 0.3750 1
Zn9 Zn 0.3750 0.2500 0.6250 1
Zn10 Zn 0.3750 0.6250 0.7500 1
Zn11 Zn 0.5000 0.0000 0.0000 1
Zn12 Zn 0.5000 0.0000 0.5000 1
Zn13 Zn 0.5000 0.5000 0.0000 1
Zn14 Zn 0.5000 0.5000 0.5000 1
Zn15 Zn 0.6250 0.3750 0.2500 1
Zn16 Zn 0.6250 0.7500 0.3750 1
Zn17 Zn 0.7500 0.3750 0.6250 1
Zn18 Zn 0.7500 0.8750 0.1250 1
Zn19 Zn 0.8750 0.1250 0.7500 1
Zn20 Zn 0.8750 0.2500 0.1250 1
I1 I 0.0295 0.2103 0.1243 1
I2 I 0.0295 0.3192 0.9052 1
I3 I 0.0859 0.7103 0.6808 1
I4 I 0.0859 0.8757 0.4052 1
I5 I 0.0948 0.6243 0.4141 1
I6 I 0.0948 0.9705 0.6808 1
I7 I 0.1243 0.0295 0.2103 1
I8 I 0.1243 0.5948 0.9141 1
I9 I 0.1808 0.2103 0.5859 1
I10 I 0.1808 0.4705 0.5948 1
I11 I 0.2103 0.1243 0.0295 1
I12 I 0.2103 0.5859 0.1808 1
I13 I 0.2897 0.3192 0.9141 1
I14 I 0.2897 0.4705 0.3757 1
I15 I 0.3192 0.9052 0.0295 1
I16 I 0.3192 0.9141 0.2897 1
I17 I 0.3757 0.2897 0.4705 1
I18 I 0.3757 0.5859 0.9052 1
I19 I 0.4052 0.0859 0.8757 1
I20 I 0.4052 0.8192 0.5295 1
I21 I 0.4141 0.0948 0.6243 1
I22 I 0.4141 0.8192 0.7897 1
I23 I 0.4705 0.3757 0.2897 1
I24 I 0.4705 0.5948 0.1808 1
I25 I 0.5295 0.4052 0.8192 1
I26 I 0.5295 0.6243 0.7103 1
I27 I 0.5859 0.1808 0.2103 1
I28 I 0.5859 0.9052 0.3757 1
I29 I 0.5948 0.1808 0.4705 1
I30 I 0.5948 0.9141 0.1243 1
I31 I 0.6243 0.4141 0.0948 1
I32 I 0.6243 0.7103 0.5295 1
I33 I 0.6808 0.0859 0.7103 1
I34 I 0.6808 0.0948 0.9705 1
I35 I 0.7103 0.5295 0.6243 1
I36 I 0.7103 0.6808 0.0859 1
I37 I 0.7897 0.4141 0.8192 1
I38 I 0.7897 0.8757 0.9705 1
I39 I 0.8192 0.5295 0.4052 1
I40 I 0.8192 0.7897 0.4141 1
I41 I 0.8757 0.4052 0.0859 1
I42 I 0.8757 0.9705 0.7897 1
I43 I 0.9052 0.0295 0.3192 1
I44 I 0.9052 0.3757 0.5859 1
I45 I 0.9141 0.1243 0.5948 1
I46 I 0.9141 0.2897 0.3192 1
I47 I 0.9705 0.6808 0.0948 1
I48 I 0.9705 0.7897 0.8757 1
# E: -168.895 eV per cell
# volume: 35.4 A^3/atom
# space group: Ia-3d, No. 230
# formation energy from raw total energies: -576 meV per atom
# total magnetization: 0.000 μB/atom

***

(4)
# LiZnI GGA-PBE relaxed
data_LiZnI
_chemical_formula_sum 'Li4 Zn4 I4'
_cell_length_a 7.6185
_cell_length_b 4.2962
_cell_length_c 10.2778
_cell_angle_alpha 90.00
_cell_angle_beta 90.13
_cell_angle_gamma 90.00
_space_group_name_H-M_alt 'P 1'
_space_group_IT_number 1
_space_group_name_Hall 'P 1'
loop_
_atom_site_label
_atom_site_type_symbol
_atom_site_fract_x
_atom_site_fract_y
_atom_site_fract_z
_atom_site_occupancy
Li1 Li 0.0075 0.0000 0.1903 1
Li2 Li 0.4925 0.5000 0.8097 1
Li3 Li 0.5075 0.5000 0.1903 1
Li4 Li 0.9925 0.0000 0.8097 1
Zn1 Zn 0.1644 0.5000 0.9752 1
Zn2 Zn 0.3356 0.0000 0.0248 1
Zn3 Zn 0.6644 0.0000 0.9752 1
Zn4 Zn 0.8356 0.5000 0.0248 1
I1 I 0.1624 0.5000 0.6952 1
I2 I 0.3376 0.0000 0.3048 1
I3 I 0.6624 0.0000 0.6952 1
I4 I 0.8376 0.5000 0.3048 1
# E: -26.035 eV per cell
# volume: 28.0 A^3/atom
# space group: C2/m, No. 12
# formation energy from raw total energies: -590 meV per atom
# total magnetization: 0.000 μB/atom

***

(5)
# LiZn2I6 GGA-PBE relaxed
data_LiZn2I6
_chemical_formula_sum 'Li2 Zn4 I12'
_cell_length_a 10.4230
_cell_length_b 10.4230
_cell_length_c 7.5380
_cell_angle_alpha 103.34
_cell_angle_beta 103.34
_cell_angle_gamma 99.34
_space_group_name_H-M_alt 'P 1'
_space_group_IT_number 1
_space_group_name_Hall 'P 1'
loop_
_atom_site_label
_atom_site_type_symbol
_atom_site_fract_x
_atom_site_fract_y
_atom_site_fract_z
_atom_site_occupancy
Li1 Li 0.2013 0.7987 0.7500 1
Li2 Li 0.7987 0.2013 0.2500 1
Zn1 Zn 0.2238 0.3599 0.6418 1
Zn2 Zn 0.3599 0.2238 0.1418 1
Zn3 Zn 0.6401 0.7762 0.8582 1
Zn4 Zn 0.7762 0.6401 0.3582 1
I1 I 0.0059 0.8330 0.4402 1
I2 I 0.1426 0.5556 0.8350 1
I3 I 0.1670 0.9941 0.0598 1
I4 I 0.2782 0.4211 0.3416 1
I5 I 0.4211 0.2782 0.8416 1
I6 I 0.4444 0.8574 0.6650 1
I7 I 0.5556 0.1426 0.3350 1
I8 I 0.5789 0.7218 0.1584 1
I9 I 0.7218 0.5789 0.6584 1
I10 I 0.8330 0.0059 0.9402 1
I11 I 0.8574 0.4444 0.1650 1
I12 I 0.9941 0.1670 0.5598 1
# E: -37.804 eV per cell
# volume: 41.9 A^3/atom
# space group: C2/c, No. 15
# formation energy from raw total energies: -571 meV per atom
# total magnetization: 0.108 μB/atom

***

(6)
# Li4ZnI6 GGA-PBE relaxed
data_Li4ZnI6
_chemical_formula_sum 'Li8 Zn2 I12'
_cell_length_a 8.2004
_cell_length_b 8.2004
_cell_length_c 14.2890
_cell_angle_alpha 106.24
_cell_angle_beta 106.24
_cell_angle_gamma 60.68
_space_group_name_H-M_alt 'P 1'
_space_group_IT_number 1
_space_group_name_Hall 'P 1'
loop_
_atom_site_label
_atom_site_type_symbol
_atom_site_fract_x
_atom_site_fract_y
_atom_site_fract_z
_atom_site_occupancy
Li1 Li 0.0564 0.2569 0.8070 1
Li2 Li 0.0663 0.9337 0.5000 1
Li3 Li 0.1314 0.5732 0.1549 1
Li4 Li 0.2569 0.0564 0.3070 1
Li5 Li 0.5473 0.7605 0.0055 1
Li6 Li 0.5732 0.1314 0.6549 1
Li7 Li 0.7605 0.5473 0.5055 1
Li8 Li 0.9337 0.0663 0.0000 1
Zn1 Zn 0.1486 0.6843 0.7438 1
Zn2 Zn 0.6843 0.1486 0.2438 1
I1 I 0.0918 0.6136 0.5514 1
I2 I 0.2633 0.8188 0.1159 1
I3 I 0.3370 0.3588 0.8046 1
I4 I 0.3468 0.8752 0.8190 1
I5 I 0.3588 0.3370 0.3046 1
I6 I 0.4250 0.9099 0.4926 1
I7 I 0.6136 0.0918 0.0514 1
I8 I 0.8188 0.2633 0.6159 1
I9 I 0.8213 0.8968 0.8026 1
I10 I 0.8752 0.3468 0.3190 1
I11 I 0.8968 0.8213 0.3026 1
I12 I 0.9099 0.4250 0.9926 1
# E: -58.713 eV per cell
# volume: 36.0 A^3/atom
# space group: Cc, No. 9
# formation energy from raw total energies: -1012 meV per atom
# total magnetization: 0.000 μB/atom

***

(7)
# LiZn2I GGA-PBE relaxed
data_LiZn2I
_chemical_formula_sum 'Li4 Zn8 I4'
_cell_length_a 7.7029
_cell_length_b 7.7029
_cell_length_c 7.7029
_cell_angle_alpha 90.00
_cell_angle_beta 90.00
_cell_angle_gamma 90.00
_space_group_name_H-M_alt 'P 1'
_space_group_IT_number 1
_space_group_name_Hall 'P 1'
loop_
_atom_site_label
_atom_site_type_symbol
_atom_site_fract_x
_atom_site_fract_y
_atom_site_fract_z
_atom_site_occupancy
Li1 Li 0.0000 0.0000 0.0000 1
Li2 Li 0.0000 0.5000 0.5000 1
Li3 Li 0.5000 0.0000 0.5000 1
Li4 Li 0.5000 0.5000 0.0000 1
Zn1 Zn 0.2500 0.2500 0.2500 1
Zn2 Zn 0.2500 0.2500 0.7500 1
Zn3 Zn 0.2500 0.7500 0.2500 1
Zn4 Zn 0.2500 0.7500 0.7500 1
Zn5 Zn 0.7500 0.2500 0.2500 1
Zn6 Zn 0.7500 0.2500 0.7500 1
Zn7 Zn 0.7500 0.7500 0.2500 1
Zn8 Zn 0.7500 0.7500 0.7500 1
I1 I 0.0000 0.0000 0.5000 1
I2 I 0.0000 0.5000 0.0000 1
I3 I 0.5000 0.0000 0.0000 1
I4 I 0.5000 0.5000 0.5000 1
# E: -20.662 eV per cell
# volume: 28.6 A^3/atom
# space group: Fm-3m, No. 225
# formation energy from raw total energies: 212 meV per atom
# energy relative to the lowest polymorph listed for this composition: 32.7 kJ per mole of atoms
# total magnetization: 0.000 μB/atom

***

(8)
# LiZn2I GGA-PBE relaxed
data_LiZn2I
_chemical_formula_sum 'Li4 Zn8 I4'
_cell_length_a 9.0727
_cell_length_b 9.0727
_cell_length_c 5.2017
_cell_angle_alpha 90.00
_cell_angle_beta 90.00
_cell_angle_gamma 90.00
_space_group_name_H-M_alt 'P 1'
_space_group_IT_number 1
_space_group_name_Hall 'P 1'
loop_
_atom_site_label
_atom_site_type_symbol
_atom_site_fract_x
_atom_site_fract_y
_atom_site_fract_z
_atom_site_occupancy
Li1 Li 0.0000 0.0000 0.0000 1
Li2 Li 0.0000 0.5000 0.2500 1
Li3 Li 0.5000 0.0000 0.7500 1
Li4 Li 0.5000 0.5000 0.5000 1
Zn1 Zn 0.2470 0.2500 0.6250 1
Zn2 Zn 0.2500 0.7470 0.8750 1
Zn3 Zn 0.2500 0.7530 0.3750 1
Zn4 Zn 0.2530 0.2500 0.1250 1
Zn5 Zn 0.7470 0.7500 0.1250 1
Zn6 Zn 0.7500 0.2470 0.3750 1
Zn7 Zn 0.7500 0.2530 0.8750 1
Zn8 Zn 0.7530 0.7500 0.6250 1
I1 I 0.0000 0.0000 0.5000 1
I2 I 0.0000 0.5000 0.7500 1
I3 I 0.5000 0.0000 0.2500 1
I4 I 0.5000 0.5000 0.0000 1
# E: -26.084 eV per cell
# volume: 26.8 A^3/atom
# space group: I-42d, No. 122
# formation energy from raw total energies: -127 meV per atom
# energy relative to the lowest polymorph listed for this composition: 0.0 kJ per mole of atoms
# total magnetization: 0.000 μB/atom

***

(9)
# Li6ZnI8 GGA-PBE relaxed
data_Li6ZnI8
_chemical_formula_sum 'Li6 Zn1 I8'
_cell_length_a 8.2569
_cell_length_b 8.2569
_cell_length_c 8.2569
_cell_angle_alpha 89.48
_cell_angle_beta 89.48
_cell_angle_gamma 89.48
_space_group_name_H-M_alt 'P 1'
_space_group_IT_number 1
_space_group_name_Hall 'P 1'
loop_
_atom_site_label
_atom_site_type_symbol
_atom_site_fract_x
_atom_site_fract_y
_atom_site_fract_z
_atom_site_occupancy
Li1 Li 0.1664 0.4411 0.6325 1
Li2 Li 0.3675 0.8336 0.5589 1
Li3 Li 0.4411 0.6325 0.1664 1
Li4 Li 0.5589 0.3675 0.8336 1
Li5 Li 0.6325 0.1664 0.4411 1
Li6 Li 0.8336 0.5589 0.3675 1
Zn1 Zn 0.0000 0.0000 0.0000 1
I1 I 0.1620 0.6490 0.3605 1
I2 I 0.1676 0.1676 0.1676 1
I3 I 0.3510 0.6395 0.8380 1
I4 I 0.3605 0.1620 0.6490 1
I5 I 0.6395 0.8380 0.3510 1
I6 I 0.6490 0.3605 0.1620 1
I7 I 0.8324 0.8324 0.8324 1
I8 I 0.8380 0.3510 0.6395 1
# E: -40.318 eV per cell
# volume: 37.5 A^3/atom
# space group: R-3, No. 148
# formation energy from raw total energies: -1011 meV per atom
# total magnetization: 0.000 μB/atom

***

> Look up the E of the fifth one.

-37.804 eV per cell